# 1
# PaAgHgCl6

Crystalline PaAgHgCl6 at its relaxed geometry (PBE, Alexandria).

Results
Its uncorrected formation energy is -128.0 kJ/mol of atoms.

a b c (Å): 6.7900 6.7900 18.4304
angles (deg): 90.00 90.00 120.00
Last column: nearest neighbours and their distance in Å.
Space group P-31c (No. 163)
Symmetry-distinct sites (fractional):
Pa 0.3333 0.6667 0.2500 x2  6 Cl 2.57
Ag 0.3333 0.6667 0.7500 x2  6 Cl 2.79
Hg 0.0000 0.0000 0.0000 x2  6 Cl 3.90
Cl 0.0249 0.3622 0.1680 x12  1 Pa 2.57, 1 Ag 2.79

---

# 2
# ThUFe4

Crystalline ThUFe4 at its relaxed geometry (PBE, Alexandria).

Results
The value obtained for the formation energy is -0.3 eV/f.u.

a b c (Å): 7.1984 7.1984 7.1984
angles (deg): 90.00 90.00 90.00
Last column: nearest neighbours and their distance in Å.
Space group F-43m (No. 216)
Symmetry-distinct sites (fractional):
Th 0.0000 0.0000 0.0000 x4  12 Fe 2.99, 4 U 3.12
U 0.2500 0.2500 0.2500 x4  12 Fe 2.98, 4 Th 3.12
Fe 0.1244 0.1244 0.6244 x16  6 Fe 2.53-2.56

---

# 3
# La3AuC

Crystalline La3AuC at its relaxed geometry (PBE, Alexandria).

Results
The value obtained for the formation energy is -1.4 eV/f.u. As for the distance to the lowest polymorph of the same formula: 107 meV/atom.

a b c (Å): 4.8221 7.5848 7.3699
angles (deg): 90.00 90.00 90.00
Last column: nearest neighbours and their distance in Å.
Space group Amm2 (No. 38)
Symmetry-distinct sites (fractional):
La 0.0000 0.0000 0.0000 x2  2 C 2.48
La 0.5000 0.2266 0.6813 x4  1 C 2.47
Au 0.0000 0.0000 0.4466 x2  5 La 3.29-3.43
C 0.5000 0.0000 0.9228 x2  4 La 2.47-2.48